1.
Here is a relaxed LiSnPO4 crystal from Alexandria. Energies are from GGA-PBEsol.

Properties
Energy ... -6.763 eV/atom
Raw formation energy ... -2.0463 eV/atom
Spin magnetization ... 0.0 μB/cell

a b c (Å): 7.794 7.794 10.149
angles (deg): 90.00 90.00 120.00
Fractional coordinates of all 42 atoms:
O 0.227 0.449 0.356
O 0.550 0.777 0.696
O 0.000 0.000 0.847
O 0.778 0.551 0.856
O 0.450 0.227 0.196
O 0.222 0.773 0.356
O 0.333 0.667 0.153
O 0.215 0.112 0.555
O 0.898 0.785 0.555
O 0.112 0.215 0.055
O 0.333 0.667 0.900
O 0.667 0.333 0.653
O 0.227 0.450 0.696
O 0.223 0.773 0.696
O 0.551 0.778 0.356
O 0.773 0.223 0.196
O 0.888 0.102 0.555
O 0.000 0.000 0.347
O 0.777 0.550 0.196
O 0.449 0.227 0.856
O 0.773 0.222 0.856
O 0.667 0.333 0.400
O 0.102 0.888 0.055
O 0.785 0.898 0.055
Sn 0.992 0.564 0.527
Sn 0.564 0.992 0.027
Sn 0.436 0.429 0.527
Sn 0.429 0.436 0.027
Sn 0.571 0.008 0.527
Sn 0.008 0.571 0.027
Li 0.979 0.210 0.747
Li 0.210 0.979 0.247
Li 0.021 0.231 0.247
Li 0.769 0.790 0.247
Li 0.231 0.021 0.747
Li 0.790 0.769 0.747
P 0.667 0.333 0.248
P 0.667 0.333 0.805
P 0.333 0.667 0.748
P 0.000 0.000 0.998
P 0.333 0.667 0.305
P 0.000 0.000 0.498

=====

2.
Here is a relaxed LiSn2P3O12 crystal from Alexandria. Energies are from GGA-PBEsol.

Properties
Energy ... -7.131 eV/atom
Raw formation energy ... -2.0836 eV/atom
Spin magnetization ... 0.0 μB/cell
Distance to the lowest polymorph of the same formula ... 5.5 meV per atom

a b c (Å): 8.693 8.693 8.728
angles (deg): 60.13 60.13 60.00
Fractional coordinates of all 36 atoms:
Sn 0.142 0.142 0.574
Sn 0.858 0.858 0.426
Sn 0.358 0.358 0.926
Sn 0.642 0.642 0.074
O 0.764 0.559 0.264
O 0.611 0.810 0.571
O 0.588 0.236 0.736
O 0.941 0.736 0.236
O 0.992 0.389 0.429
O 0.264 0.912 0.764
O 0.889 0.492 0.929
O 0.059 0.264 0.764
O 0.492 0.690 0.929
O 0.690 0.889 0.929
O 0.912 0.059 0.764
O 0.236 0.441 0.736
O 0.111 0.508 0.071
O 0.008 0.611 0.571
O 0.088 0.941 0.236
O 0.810 0.008 0.571
O 0.310 0.111 0.071
O 0.190 0.992 0.429
O 0.412 0.764 0.264
O 0.508 0.310 0.071
O 0.441 0.588 0.736
O 0.389 0.190 0.429
O 0.736 0.088 0.236
O 0.559 0.412 0.264
P 0.250 0.955 0.250
P 0.455 0.750 0.750
P 0.045 0.455 0.750
P 0.955 0.545 0.250
P 0.545 0.250 0.250
P 0.750 0.045 0.750
Li 0.000 0.000 0.000
Li 0.500 0.500 0.500

=====

3.
Here is a relaxed LiSn2P3O12 crystal from Alexandria. Energies are from GGA-PBEsol.

Properties
Energy ... -7.136 eV/atom
Raw formation energy ... -2.0889 eV/atom
Spin magnetization ... 0.0 μB/cell
Distance to the lowest polymorph of the same formula ... 0.2 meV per atom

a b c (Å): 8.492 8.763 12.084
angles (deg): 90.00 89.23 90.00
Fractional coordinates of all 72 atoms:
O 0.317 0.317 0.937
O 0.677 0.768 0.313
O 0.612 0.705 0.674
O 0.569 0.374 0.623
O 0.888 0.205 0.826
O 0.859 0.992 0.238
O 0.585 0.876 0.926
O 0.141 0.008 0.762
O 0.867 0.408 0.973
O 0.683 0.683 0.063
O 0.457 0.625 0.938
O 0.710 0.979 0.719
O 0.069 0.126 0.123
O 0.388 0.295 0.326
O 0.817 0.183 0.437
O 0.074 0.310 0.399
O 0.574 0.087 0.323
O 0.801 0.056 0.045
O 0.641 0.492 0.262
O 0.790 0.479 0.781
O 0.543 0.375 0.062
O 0.133 0.592 0.027
O 0.926 0.690 0.601
O 0.183 0.817 0.563
O 0.915 0.376 0.574
O 0.633 0.908 0.527
O 0.931 0.874 0.877
O 0.699 0.556 0.455
O 0.301 0.444 0.545
O 0.359 0.508 0.738
O 0.112 0.795 0.174
O 0.043 0.125 0.562
O 0.210 0.521 0.219
O 0.926 0.587 0.177
O 0.574 0.190 0.899
O 0.415 0.124 0.074
O 0.085 0.624 0.426
O 0.426 0.810 0.101
O 0.199 0.944 0.955
O 0.367 0.092 0.473
O 0.074 0.413 0.823
O 0.177 0.732 0.813
O 0.323 0.232 0.687
O 0.431 0.626 0.377
O 0.290 0.021 0.281
O 0.426 0.913 0.677
O 0.823 0.268 0.187
O 0.957 0.875 0.438
P 0.534 0.751 0.007
P 0.609 0.613 0.354
P 0.891 0.113 0.146
P 0.391 0.387 0.646
P 0.102 0.622 0.150
P 0.466 0.249 0.993
P 0.898 0.378 0.850
P 0.034 0.749 0.507
P 0.602 0.878 0.650
P 0.109 0.887 0.854
P 0.398 0.122 0.350
P 0.966 0.251 0.493
Sn 0.746 0.465 0.109
Sn 0.246 0.035 0.609
Sn 0.249 0.470 0.381
Sn 0.251 0.970 0.119
Sn 0.749 0.030 0.881
Sn 0.254 0.535 0.891
Sn 0.751 0.530 0.619
Sn 0.754 0.965 0.391
Li 0.314 0.710 0.676
Li 0.814 0.790 0.176
Li 0.686 0.290 0.324
Li 0.186 0.210 0.824

=====

4.
Here is a relaxed Li2Ti3SnP6O24 crystal from Alexandria. Energies are from GGA-PBEsol.

Properties
Energy ... -7.839 eV/atom
Raw formation energy ... -2.4531 eV/atom
Spin magnetization ... 0.0 μB/cell

a b c (Å): 8.586 8.586 8.560
angles (deg): 59.90 59.90 60.00
Fractional coordinates of all 36 atoms:
O 0.616 0.018 0.566
O 0.088 0.730 0.229
O 0.426 0.236 0.749
O 0.559 0.764 0.263
O 0.192 0.376 0.432
O 0.692 0.505 0.928
O 0.730 0.953 0.229
O 0.118 0.321 0.073
O 0.953 0.088 0.229
O 0.376 0.000 0.432
O 0.920 0.267 0.763
O 0.321 0.489 0.073
O 0.236 0.589 0.749
O 0.505 0.875 0.928
O 0.267 0.050 0.763
O 0.800 0.616 0.566
O 0.489 0.118 0.073
O 0.018 0.800 0.566
O 0.589 0.426 0.749
O 0.000 0.192 0.432
O 0.415 0.559 0.263
O 0.764 0.415 0.263
O 0.875 0.692 0.928
O 0.050 0.920 0.763
P 0.750 0.454 0.753
P 0.043 0.750 0.753
P 0.538 0.958 0.250
P 0.254 0.538 0.250
P 0.958 0.254 0.250
P 0.454 0.043 0.753
Li 0.005 0.005 0.986
Li 0.501 0.501 0.498
Ti 0.141 0.141 0.577
Ti 0.358 0.358 0.926
Ti 0.641 0.641 0.076
Sn 0.860 0.860 0.421

=====

5.
Here is a relaxed LiTiSnP3O12 crystal from Alexandria. Energies are from GGA-PBEsol.

Properties
Energy ... -7.599 eV/atom
Raw formation energy ... -2.3264 eV/atom
Spin magnetization ... 0.0 μB/cell

a b c (Å): 8.632 8.632 8.610
angles (deg): 59.92 59.92 60.00
Fractional coordinates of all 36 atoms:
O 0.126 0.305 0.071
O 0.562 0.768 0.262
O 0.498 0.126 0.071
O 0.626 0.998 0.571
O 0.993 0.184 0.431
O 0.305 0.498 0.071
O 0.892 0.684 0.931
O 0.184 0.392 0.431
O 0.062 0.909 0.762
O 0.081 0.737 0.236
O 0.768 0.409 0.262
O 0.237 0.581 0.736
O 0.946 0.081 0.236
O 0.446 0.237 0.736
O 0.737 0.946 0.236
O 0.392 0.993 0.431
O 0.409 0.562 0.262
O 0.684 0.493 0.931
O 0.268 0.062 0.762
O 0.909 0.268 0.762
O 0.493 0.892 0.931
O 0.998 0.805 0.571
O 0.805 0.626 0.571
O 0.581 0.446 0.736
Ti 0.359 0.359 0.924
Ti 0.859 0.859 0.424
Li 0.495 0.495 0.515
Li 0.995 0.995 0.015
P 0.746 0.460 0.747
P 0.246 0.547 0.247
P 0.047 0.746 0.747
P 0.547 0.960 0.247
P 0.960 0.246 0.247
P 0.460 0.047 0.747
Sn 0.142 0.142 0.574
Sn 0.642 0.642 0.074

=====

6.
Here is a relaxed LiVSn3P6O24 crystal from Alexandria. Energies are from GGA-PBEsol.

Properties
Energy ... -7.384 eV/atom
Raw formation energy ... -2.0951 eV/atom
Spin magnetization ... 0.0 μB/cell

a b c (Å): 8.459 8.459 8.839
angles (deg): 61.41 61.41 60.00
Fractional coordinates of all 35 atoms:
O 0.103 0.251 0.735
O 0.372 0.188 0.427
O 0.013 0.372 0.427
O 0.561 0.185 0.780
O 0.823 0.001 0.575
O 0.500 0.454 0.228
O 0.525 0.228 0.093
O 0.228 0.154 0.093
O 0.911 0.103 0.735
O 0.778 0.842 0.914
O 0.454 0.818 0.228
O 0.114 0.884 0.266
O 0.818 0.500 0.228
O 0.601 0.823 0.575
O 0.466 0.778 0.914
O 0.185 0.474 0.780
O 0.001 0.601 0.575
O 0.188 0.013 0.427
O 0.251 0.911 0.735
O 0.884 0.736 0.266
O 0.736 0.114 0.266
O 0.474 0.561 0.780
O 0.154 0.525 0.093
O 0.842 0.466 0.914
Sn 0.856 0.856 0.433
Sn 0.643 0.643 0.070
Sn 0.356 0.356 0.933
Li 0.021 0.021 0.937
P 0.536 0.249 0.250
P 0.249 0.965 0.250
P 0.762 0.031 0.754
P 0.965 0.536 0.250
P 0.031 0.453 0.754
P 0.453 0.762 0.754
V 0.146 0.146 0.561